*P*
## KRuAu3 (PBE)

Data for a relaxed structure of KRuAu3.

* crystal system: cubic
* density of states at the Fermi level: 12.063 states/eV/f.u.

Cell: 5.372 5.372 5.372 Å, 90.00 90.00 90.00°
Space group Pm-3m (No. 221)
One atom of each set of equivalent atoms:
K (0.000, 0.000, 0.000) x1
Ru (0.500, 0.500, 0.500) x1
Au (0.000, 0.000, 0.500) x3



*Q*
## KRuAu3 (PBE)

Data for a relaxed structure of KRuAu3.

* crystal system: cubic
* density of states at the Fermi level: 2.823 states/eV/f.u.

Cell: 5.152 5.152 5.152 Å, 90.00 90.00 90.00°
Space group Pm-3m (No. 221)
One atom of each set of equivalent atoms:
K (0.000, 0.000, 0.000) x1
Ru (0.500, 0.500, 0.500) x1
Au (0.000, 0.500, 0.500) x3



Least stable = *P*



*P*
## K2RuAu (PBE)

Data for a relaxed structure of K2RuAu.

* crystal system: tetragonal
* density of states at the Fermi level: 4.146 states/eV/f.u.

Cell: 5.267 5.267 7.436 Å, 90.00 90.00 90.00°
Space group I-4m2 (No. 119)
One atom of each set of equivalent atoms:
K (0.000, 0.000, 0.000) x2
K (0.000, 0.500, 0.250) x2
Ru (0.000, 0.000, 0.500) x2
Au (0.000, 0.500, 0.750) x2



*Q*
## K2RuAu (PBE)

Data for a relaxed structure of K2RuAu.

* crystal system: tetragonal
* density of states at the Fermi level: 4.849 states/eV/f.u.

Cell: 11.631 11.631 5.140 Å, 90.00 90.00 90.00°
Space group I-42d (No. 122)
One atom of each set of equivalent atoms:
K (0.096, 0.250, 0.125) x8
Ru (0.000, 0.000, 0.500) x4
Au (0.000, 0.000, 0.000) x4



*R*
## K2RuAu (PBE)

Data for a relaxed structure of K2RuAu.

* crystal system: monoclinic
* density of states at the Fermi level: 3.967 states/eV/f.u.

Cell: 12.732 2.788 6.196 Å, 90.00 106.68 90.00°
Space group Cm (No. 8)
One atom of each set of equivalent atoms:
K (0.000, 0.000, 0.000) x2
K (0.198, 0.000, 0.607) x2
Ru (0.429, 0.000, 0.452) x2
Au (0.266, 0.500, 0.148) x2



Least stable = *P*



*P*
## K2RuAu (PBE)

Data for a relaxed structure of K2RuAu.

* crystal system: orthorhombic
* density of states at the Fermi level: 3.789 states/eV/f.u.

Cell: 6.209 10.587 2.818 Å, 90.00 90.00 90.00°
Space group Cmmm (No. 65)
One atom of each set of equivalent atoms:
K (0.250, 0.250, 0.000) x4
Ru (0.000, 0.000, 0.500) x2
Au (0.000, 0.500, 0.500) x2



*Q*
## K2RuAu (PBE)

Data for a relaxed structure of K2RuAu.

* crystal system: monoclinic
* density of states at the Fermi level: 2.252 states/eV/f.u.

Cell: 11.149 2.803 5.705 Å, 90.00 95.14 90.00°
Space group C2/m (No. 12)
One atom of each set of equivalent atoms:
K (0.249, 0.000, 0.249) x4
Ru (0.000, 0.500, 0.000) x2
Au (0.000, 0.000, 0.500) x2



Least stable = *Q*